Record 1
A plane-wave DFT calculation with GGA-PBE was carried out for a geometry-optimized NaBiI4 structure.

Calculated values
E_tot in eV per atom: -2.615
N(E_F) in states/eV/f.u.: 0.0
Formation energy without anion corrections in kJ per mole of atoms: -69
Total magnetic moment in μB per atom: 0.0000
Energy above the lowest structure with this stoichiometry in meV/atom: 4

```
data_NaBiI4
_chemical_formula_sum 'Na2 Bi2 I8'
_symmetry_space_group_name_H-M 'C 1 2/m 1'
_symmetry_Int_Tables_number 12
_cell_length_a 17.652
_cell_length_b 4.470
_cell_length_c 8.079
_cell_angle_alpha 90.00
_cell_angle_beta 117.23
_cell_angle_gamma 90.00
loop_
_symmetry_equiv_pos_as_xyz
'x,y,z'
'-x,-y,-z'
'-x,y,-z'
'x,-y,z'
'x+1/2,y+1/2,z'
'-x+1/2,-y+1/2,-z'
'-x+1/2,y+1/2,-z'
'x+1/2,-y+1/2,z'
loop_
_atom_site_label
_atom_site_fract_x
_atom_site_fract_y
_atom_site_fract_z
_atom_site_occupancy
Na1 0.000 0.000 0.000 1
Bi1 0.000 0.500 0.500 1
I1 0.111 0.500 0.296 1
I2 0.117 0.000 0.770 1
```

***

Record 2
A plane-wave DFT calculation with GGA-PBE was carried out for a geometry-optimized NaBiI structure.

Calculated values
E_tot in eV per atom: -2.909
N(E_F) in states/eV/f.u.: 0.5
Formation energy without anion corrections in kJ per mole of atoms: -64
Total magnetic moment in μB per atom: 0.0000

```
data_NaBiI
_chemical_formula_sum 'Na4 Bi4 I4'
_symmetry_space_group_name_H-M 'C 1 2/m 1'
_symmetry_Int_Tables_number 12
_cell_length_a 6.488
_cell_length_b 5.977
_cell_length_c 12.278
_cell_angle_alpha 90.00
_cell_angle_beta 102.19
_cell_angle_gamma 90.00
loop_
_symmetry_equiv_pos_as_xyz
'x,y,z'
'-x,-y,-z'
'-x,y,-z'
'x,-y,z'
'x+1/2,y+1/2,z'
'-x+1/2,-y+1/2,-z'
'-x+1/2,y+1/2,-z'
'x+1/2,-y+1/2,z'
loop_
_atom_site_label
_atom_site_fract_x
_atom_site_fract_y
_atom_site_fract_z
_atom_site_occupancy
Na1 0.202 0.000 0.380 1
Bi1 0.229 0.000 0.050 1
I1 0.191 0.500 0.350 1
```

***

Record 3
A plane-wave DFT calculation with GGA-PBE was carried out for a geometry-optimized Na2BiI structure.

Calculated values
E_tot in eV per atom: -2.503
N(E_F) in states/eV/f.u.: 0.7
Formation energy without anion corrections in kJ per mole of atoms: -47
Total magnetic moment in μB per atom: 0.0000
Energy above the lowest structure with this stoichiometry in meV/atom: 119

```
data_Na2BiI
_chemical_formula_sum 'Na6 Bi3 I3'
_symmetry_space_group_name_H-M 'R -3 m'
_symmetry_Int_Tables_number 166
_symmetry_space_group_name_Hall '-R 3 2"'
_cell_length_a 4.0483
_cell_length_b 4.0483
_cell_length_c 30.7907
_cell_angle_alpha 90.00
_cell_angle_beta 90.00
_cell_angle_gamma 120.00
loop_
_atom_site_label
_atom_site_fract_x
_atom_site_fract_y
_atom_site_fract_z
_atom_site_occupancy
Na1 0.0000 0.0000 0.0991 1
Bi1 0.0000 0.0000 0.0000 1
I1 0.0000 0.0000 0.5000 1
```

***

Record 4
A plane-wave DFT calculation with GGA-PBE was carried out for a geometry-optimized NaBiI4 structure.

Calculated values
E_tot in eV per atom: -2.619
N(E_F) in states/eV/f.u.: 0.0
Formation energy without anion corrections in kJ per mole of atoms: -69
Total magnetic moment in μB per atom: 0.0000
Energy above the lowest structure with this stoichiometry in meV/atom: 0

```
data_NaBiI4
_chemical_formula_sum 'Na1 Bi1 I4'
_symmetry_space_group_name_H-M 'P 1 2/m 1'
_symmetry_Int_Tables_number 10
_cell_length_a 7.598
_cell_length_b 4.462
_cell_length_c 8.074
_cell_angle_alpha 90.00
_cell_angle_beta 91.57
_cell_angle_gamma 90.00
loop_
_symmetry_equiv_pos_as_xyz
'x,y,z'
'-x,-y,-z'
'-x,y,-z'
'x,-y,z'
loop_
_atom_site_label
_atom_site_fract_x
_atom_site_fract_y
_atom_site_fract_z
_atom_site_occupancy
Na1 0.000 0.000 0.000 1
Bi1 0.000 0.500 0.500 1
I1 0.232 0.500 0.191 1
I2 0.242 0.000 0.660 1
```

***

Record 5
A plane-wave DFT calculation with GGA-PBE was carried out for a geometry-optimized NaBi3I structure.

Calculated values
E_tot in eV per atom: -2.249
N(E_F) in states/eV/f.u.: 7.1
Formation energy without anion corrections in kJ per mole of atoms: 63
Total magnetic moment in μB per atom: 0.0000
Energy above the lowest structure with this stoichiometry in meV/atom: 32

```
data_NaBi3I
_chemical_formula_sum 'Na1 Bi3 I1'
_symmetry_space_group_name_H-M 'P m -3 m'
_symmetry_Int_Tables_number 221
_symmetry_space_group_name_Hall '-P 4 2 3'
_cell_length_a 6.038
_cell_length_b 6.038
_cell_length_c 6.038
_cell_angle_alpha 90.00
_cell_angle_beta 90.00
_cell_angle_gamma 90.00
loop_
_atom_site_label
_atom_site_fract_x
_atom_site_fract_y
_atom_site_fract_z
_atom_site_occupancy
Na1 0.000 0.000 0.000 1
Bi1 0.000 0.500 0.500 1
I1 0.500 0.500 0.500 1
```

***

Record 6
A plane-wave DFT calculation with GGA-PBE was carried out for a geometry-optimized Na3BiI6 structure.

Calculated values
E_tot in eV per atom: -2.620
N(E_F) in states/eV/f.u.: 0.0
Formation energy without anion corrections in kJ per mole of atoms: -87
Total magnetic moment in μB per atom: 0.0000

```
data_Na3BiI6
_chemical_formula_sum 'Na6 Bi2 I12'
_symmetry_space_group_name_H-M 'P 1 21/c 1'
_symmetry_Int_Tables_number 14
_cell_length_a 7.940
_cell_length_b 8.570
_cell_length_c 14.155
_cell_angle_alpha 90.00
_cell_angle_beta 122.98
_cell_angle_gamma 90.00
loop_
_symmetry_equiv_pos_as_xyz
'x,y,z'
'-x,-y,-z'
'-x,y+1/2,-z+1/2'
'x,-y+1/2,z+1/2'
loop_
_atom_site_label
_atom_site_fract_x
_atom_site_fract_y
_atom_site_fract_z
_atom_site_occupancy
Na1 0.000 0.000 0.000 1
Na2 0.189 0.090 0.703 1
Bi1 0.500 0.000 0.500 1
I1 0.120 0.182 0.444 1
I2 0.235 0.700 0.409 1
I3 0.407 0.072 0.260 1
```

***

Record 7
A plane-wave DFT calculation with GGA-PBE was carried out for a geometry-optimized NaBiIO6 structure.

Calculated values
E_tot in eV per atom: -4.791
N(E_F) in states/eV/f.u.: 3.5
Formation energy without anion corrections in kJ per mole of atoms: -71
Total magnetic moment in μB per atom: 0.0000

```
data_NaBiIO6
_chemical_formula_sum 'Na2 Bi2 I2 O12'
_symmetry_space_group_name_H-M 'P 42 n m'
_symmetry_Int_Tables_number 102
_cell_length_a 5.034
_cell_length_b 5.034
_cell_length_c 9.924
_cell_angle_alpha 90.00
_cell_angle_beta 90.00
_cell_angle_gamma 90.00
loop_
_symmetry_equiv_pos_as_xyz
'x,y,z'
'-y+1/2,x+1/2,z+1/2'
'-x,-y,z'
'y+1/2,-x+1/2,z+1/2'
'-x+1/2,y+1/2,z+1/2'
'y,x,z'
'x+1/2,-y+1/2,z+1/2'
'-y,-x,z'
loop_
_atom_site_label
_atom_site_fract_x
_atom_site_fract_y
_atom_site_fract_z
_atom_site_occupancy
Na1 0.000 0.000 0.000 1
Bi1 0.000 0.000 0.328 1
I1 0.000 0.000 0.665 1
O1 0.180 0.180 0.521 1
O2 0.183 0.183 0.808 1
O3 0.232 0.232 0.167 1
```

***

Record 8
A plane-wave DFT calculation with GGA-PBE was carried out for a geometry-optimized Na2BiIO6 structure.

Calculated values
E_tot in eV per atom: -4.822
N(E_F) in states/eV/f.u.: 0.0
Formation energy without anion corrections in kJ per mole of atoms: -100
Total magnetic moment in μB per atom: 0.0000

```
data_Na2BiIO6
_chemical_formula_sum 'Na4 Bi2 I2 O12'
_symmetry_space_group_name_H-M 'P 1 21/c 1'
_symmetry_Int_Tables_number 14
_cell_length_a 5.699
_cell_length_b 5.841
_cell_length_c 9.939
_cell_angle_alpha 90.00
_cell_angle_beta 124.91
_cell_angle_gamma 90.00
loop_
_symmetry_equiv_pos_as_xyz
'x,y,z'
'-x,-y,-z'
'-x,y+1/2,-z+1/2'
'x,-y+1/2,z+1/2'
loop_
_atom_site_label
_atom_site_fract_x
_atom_site_fract_y
_atom_site_fract_z
_atom_site_occupancy
Na1 0.243 0.044 0.253 1
Bi1 0.500 0.000 0.000 1
I1 0.000 0.000 0.500 1
O1 0.104 0.229 0.937 1
O2 0.225 0.677 0.951 1
O3 0.327 0.045 0.721 1
```

***

Record 9
A plane-wave DFT calculation with GGA-PBE was carried out for a geometry-optimized NaBiPbI6 structure.

Calculated values
E_tot in eV per atom: -2.698
N(E_F) in states/eV/f.u.: 0.0
Formation energy without anion corrections in kJ per mole of atoms: -65
Total magnetic moment in μB per atom: 0.0000

```
data_NaBiPbI6
_chemical_formula_sum 'Na2 Bi2 Pb2 I12'
_symmetry_space_group_name_H-M 'P -3 1 c'
_symmetry_Int_Tables_number 163
_symmetry_space_group_name_Hall '-P 3 2c'
_cell_length_a 7.9853
_cell_length_b 7.9853
_cell_length_c 14.6111
_cell_angle_alpha 90.00
_cell_angle_beta 90.00
_cell_angle_gamma 120.00
loop_
_atom_site_label
_atom_site_fract_x
_atom_site_fract_y
_atom_site_fract_z
_atom_site_occupancy
Na1 0.0000 0.0000 0.0000 1
Bi1 0.3333 0.6667 0.2500 1
Pb1 0.3333 0.6667 0.7500 1
I1 0.0133 0.3562 0.1242 1
```

***

Record 10
A plane-wave DFT calculation with GGA-PBE was carried out for a geometry-optimized Rb2NaBiI6 structure.

Calculated values
E_tot in eV per atom: -2.682
N(E_F) in states/eV/f.u.: 0.0
Formation energy without anion corrections in kJ per mole of atoms: -100
Total magnetic moment in μB per atom: 0.0000
Energy above the lowest structure with this stoichiometry in meV/atom: 0

```
data_Rb2NaBiI6
_chemical_formula_sum 'Rb4 Na2 Bi2 I12'
_symmetry_space_group_name_H-M 'P 1 21/c 1'
_symmetry_Int_Tables_number 14
_cell_length_a 8.488
_cell_length_b 8.902
_cell_length_c 14.724
_cell_angle_alpha 90.00
_cell_angle_beta 124.49
_cell_angle_gamma 90.00
loop_
_symmetry_equiv_pos_as_xyz
'x,y,z'
'-x,-y,-z'
'-x,y+1/2,-z+1/2'
'x,-y+1/2,z+1/2'
loop_
_atom_site_label
_atom_site_fract_x
_atom_site_fract_y
_atom_site_fract_z
_atom_site_occupancy
Rb1 0.220 0.084 0.248 1
Na1 0.000 0.000 0.500 1
Bi1 0.500 0.000 0.000 1
I1 0.151 0.190 0.950 1
I2 0.269 0.704 0.953 1
I3 0.355 0.016 0.754 1
```

***

Record 11
A plane-wave DFT calculation with GGA-PBE was carried out for a geometry-optimized Rb2NaBiI6 structure.

Calculated values
E_tot in eV per atom: -2.640
N(E_F) in states/eV/f.u.: 0.0
Formation energy without anion corrections in kJ per mole of atoms: -96
Total magnetic moment in μB per atom: 0.0000
Energy above the lowest structure with this stoichiometry in meV/atom: 43

```
data_Rb2NaBiI6
_chemical_formula_sum 'Rb8 Na4 Bi4 I24'
_symmetry_space_group_name_H-M 'F m -3 m'
_symmetry_Int_Tables_number 225
_symmetry_space_group_name_Hall '-F 4 2 3'
_cell_length_a 12.443
_cell_length_b 12.443
_cell_length_c 12.443
_cell_angle_alpha 90.00
_cell_angle_beta 90.00
_cell_angle_gamma 90.00
loop_
_atom_site_label
_atom_site_fract_x
_atom_site_fract_y
_atom_site_fract_z
_atom_site_occupancy
Rb1 0.250 0.250 0.250 1
Na1 0.000 0.000 0.000 1
Bi1 0.000 0.000 0.500 1
I1 0.000 0.000 0.253 1
```

***

Record 12
A plane-wave DFT calculation with GGA-PBE was carried out for a geometry-optimized RbNa2BiI6 structure.

Calculated values
E_tot in eV per atom: -2.649
N(E_F) in states/eV/f.u.: 0.0
Formation energy without anion corrections in kJ per mole of atoms: -94
Total magnetic moment in μB per atom: 0.0000

```
data_RbNa2BiI6
_chemical_formula_sum 'Rb3 Na6 Bi3 I18'
_symmetry_space_group_name_H-M 'R 3'
_symmetry_Int_Tables_number 146
_symmetry_space_group_name_Hall 'R 3'
_cell_length_a 8.3012
_cell_length_b 8.3012
_cell_length_c 22.6847
_cell_angle_alpha 90.00
_cell_angle_beta 90.00
_cell_angle_gamma 120.00
loop_
_atom_site_label
_atom_site_fract_x
_atom_site_fract_y
_atom_site_fract_z
_atom_site_occupancy
Rb1 0.0000 0.0000 0.0000 1
Na1 0.0000 0.0000 0.2876 1
Na2 0.0000 0.0000 0.8072 1
Bi1 0.0000 0.0000 0.4779 1
I1 0.0045 0.3261 0.5512 1
I2 0.0176 0.6048 0.0587 1
```